Record 1
The following is a DFT calculation (GGA-PBE) of Li2CuSiO4 after structural relaxation.

The structure in POSCAR format:
```
Li2CuSiO4
1.0
5.3164 0.0383 0.0000
-0.3050 5.3078 0.0000
0.0000 0.0000 6.2188
Li Cu Si O
4 2 2 8
Direct
0.3176 0.3176 0.5000 Li
0.8170 0.1830 0.7500 Li
0.1830 0.8170 0.2500 Li
0.6824 0.6824 0.0000 Li
0.8190 0.1810 0.2500 Cu
0.1810 0.8190 0.7500 Cu
0.3218 0.3218 0.0000 Si
0.6782 0.6782 0.5000 Si
0.1971 0.1927 0.2184 O
0.1927 0.1971 0.7816 O
0.6306 0.2925 0.0009 O
0.2925 0.6306 0.9991 O
0.3694 0.7075 0.5009 O
0.7075 0.3694 0.4991 O
0.8029 0.8073 0.7184 O
0.8073 0.8029 0.2816 O
```

Computed properties:
The offset from the most stable computed form is 2.60 kJ per mole of atoms.



Record 2
The following is a DFT calculation (GGA-PBE) of HoHRh after structural relaxation.

The structure in POSCAR format:
```
HoHRh
1.0
-1.7033 2.6240 3.8487
-2.5018 -3.9006 1.5521
0.6634 -1.6508 4.6147
Ho H Rh
2 2 2
Direct
0.7678 0.6833 0.2774 Ho
0.2678 0.1833 0.2774 Ho
0.2678 0.6833 0.7774 H
0.2678 0.1833 0.7774 H
0.9869 0.4333 0.7774 Rh
0.5487 0.9333 0.7774 Rh
```

Computed properties:
The offset from the most stable computed form is 0.00 kJ per mole of atoms.



Record 3
The following is a DFT calculation (GGA-PBE) of CaY2Cl after structural relaxation.

The structure in POSCAR format:
```
CaY2Cl
1.0
10.2099 -0.0007 -0.0004
9.5364 3.6469 -0.0004
9.5364 1.7609 3.1936
Y Ca Cl
2 1 1
Direct
0.0114 0.0114 0.0114 Y
0.2535 0.2535 0.2535 Y
0.4872 0.4872 0.4872 Ca
0.7480 0.7480 0.7480 Cl
```

Computed properties:
The offset from the most stable computed form is 0.00 kJ per mole of atoms.



Record 4
The following is a DFT calculation (GGA-PBE) of NaIn15Hg4 after structural relaxation.

The structure in POSCAR format:
```
NaIn15Hg4
1.0
-4.5338 -0.5411 1.2327
1.3006 -0.6429 4.5014
-1.7314 23.1913 3.8123
Na In Hg
1 15 4
Direct
0.0000 0.0000 0.0000 Na
0.5000 0.5000 0.0000 In
0.5000 0.5000 0.1987 In
0.5000 0.5000 0.4003 In
0.5000 0.5000 0.5997 In
0.5000 0.5000 0.8013 In
0.5000 0.0000 0.0999 In
0.5000 0.0000 0.2987 In
0.5000 0.0000 0.5000 In
0.5000 0.0000 0.7013 In
0.5000 0.0000 0.9001 In
0.0000 0.5000 0.0999 In
0.0000 0.5000 0.2987 In
0.0000 0.5000 0.5000 In
0.0000 0.5000 0.7013 In
0.0000 0.5000 0.9001 In
0.0000 0.0000 0.1973 Hg
0.0000 0.0000 0.3995 Hg
0.0000 0.0000 0.6005 Hg
0.0000 0.0000 0.8027 Hg
```

Computed properties:
The total energy comes out at -43.82 eV/cell.



Record 5
The following is a DFT calculation (GGA-PBE) of PuTlBi after structural relaxation.

The structure in POSCAR format:
```
PuTlBi
1.0
-1.8077 2.8449 -0.6362
-3.7315 -1.5428 3.7034
4.2780 3.0610 1.5327
Tl Bi Pu
1 1 1
Direct
0.9557 0.0000 0.0000 Tl
0.7286 0.6667 0.3333 Bi
0.3157 0.3333 0.6667 Pu
```

Computed properties:
The offset from the most stable computed form is 0.25 kJ per mole of atoms.



Record 6
The following is a DFT calculation (GGA-PBE) of Sc2TcHgC after structural relaxation.

The structure in POSCAR format:
```
Sc2TcHgC
1.0
5.3569 0.0000 0.0000
0.0000 3.8095 0.0000
0.0000 0.0000 5.3569
Sc C Hg Tc
2 1 1 1
Direct
0.0000 0.0000 0.5000 Sc
0.5000 0.0000 0.0000 Sc
0.0000 0.5000 0.0000 C
0.0000 0.0000 0.0000 Hg
0.5000 0.5000 0.5000 Tc
```

Computed properties:
The offset from the most stable computed form is 197.03 kJ per mole of atoms.



Record 7
The following is a DFT calculation (GGA-PBE) of CaLaEuTl after structural relaxation.

The structure in POSCAR format:
```
CaLaEuTl
1.0
5.7732 0.0000 0.0000
2.8866 4.9997 0.0000
2.8866 1.6666 4.7138
Eu Tl Ca La
1 1 1 1
Direct
0.0000 0.0000 0.0000 Eu
0.7500 0.7500 0.7500 Tl
0.2500 0.2500 0.2500 Ca
0.5000 0.5000 0.5000 La
```

Computed properties:
The total energy comes out at -20.12 eV/cell.



Record 8
The following is a DFT calculation (GGA-PBE) of ReSi2Se after structural relaxation.

The structure in POSCAR format:
```
ReSi2Se
1.0
-0.1394 3.7619 -2.2733
-1.9251 -2.0544 -3.3782
-1.7464 -0.2293 4.0294
Re Se Si
1 1 2
Direct
0.5000 0.5000 0.0000 Re
0.7500 0.2500 0.5000 Se
0.0000 0.0000 0.0000 Si
0.2500 0.7500 0.5000 Si
```

Computed properties:
The total energy comes out at -24.60 eV/cell.